Record 1
An optimized crystal structure of Tb3Pr4Tl2. Source: Alexandria, functional GGA-PBE.

Lattice parameters (Å, degrees): 6.579 9.542 9.542 93.38 86.37 86.37
Fractional coordinates of all 18 atoms:
Tl1 0.452 0.772 0.637
Tl2 0.952 0.637 0.772
Tl3 0.548 0.228 0.363
Tl4 0.048 0.363 0.228
Pr1 0.910 0.822 0.473
Pr2 0.584 0.105 0.683
Pr3 0.590 0.527 0.178
Pr4 0.916 0.317 0.895
Pr5 0.416 0.895 0.317
Pr6 0.090 0.178 0.527
Pr7 0.410 0.473 0.822
Pr8 0.084 0.683 0.105
Tb1 0.603 0.825 0.950
Tb2 0.397 0.175 0.050
Tb3 0.250 0.531 0.469
Tb4 0.103 0.950 0.825
Tb5 0.897 0.050 0.175
Tb6 0.750 0.469 0.531

formation energy	-0.094	eV/atom
crystal system	monoclinic

Record 2
An optimized crystal structure of ScPd6Pt. Source: Alexandria, functional GGA-PBE.

Lattice parameters (Å, degrees): 4.047 5.587 5.587 89.99 90.00 90.00
Fractional coordinates of all 8 atoms:
Pd1 0.000 0.251 0.251
Pd2 0.000 0.749 0.749
Pd3 0.500 0.000 0.500
Pd4 0.000 0.251 0.749
Pd5 0.000 0.749 0.251
Pd6 0.500 0.500 0.000
Pt1 0.500 0.500 0.500
Sc1 0.500 0.000 0.000

formation energy	-0.423	eV/atom
crystal system	tetragonal
offset from the most stable computed form	0.000	eV per atom

Record 3
An optimized crystal structure of Ga2BiP2. Source: Alexandria, functional GGA-PBE.

Lattice parameters (Å, degrees): 4.816 4.816 5.509 64.08 64.08 90.00
Fractional coordinates of all 5 atoms:
Bi1 0.000 0.000 0.000
P1 0.250 0.750 0.500
P2 0.750 0.250 0.500
Ga1 0.356 0.356 0.288
Ga2 0.644 0.644 0.712

formation energy	0.191	eV/atom
crystal system	tetragonal

Record 4
An optimized crystal structure of CsThTlO4. Source: Alexandria, functional GGA-PBE.

Lattice parameters (Å, degrees): 7.099 7.561 7.463 119.57 90.00 117.99
Fractional coordinates of all 14 atoms:
Cs1 0.141 0.282 0.891
Cs2 0.859 0.718 0.109
O1 0.701 0.019 0.259
O2 0.719 0.437 0.660
O3 0.281 0.563 0.722
O4 0.719 0.437 0.278
O5 0.299 0.981 0.741
O6 0.281 0.563 0.340
O7 0.682 0.981 0.741
O8 0.318 0.019 0.259
Tl1 0.500 0.500 0.500
Tl2 0.000 0.500 0.500
Th1 0.500 0.000 0.000
Th2 0.500 0.000 0.500

E_form (uncorrected)	-14.1	eV per formula unit
crystal system	orthorhombic

Record 5
An optimized crystal structure of Sc2Sb. Source: Alexandria, functional GGA-PBE.

Lattice parameters (Å, degrees): 4.802 4.802 4.802 60.00 60.00 60.00
Fractional coordinates of all 3 atoms:
Sc1 0.750 0.750 0.750
Sc2 0.250 0.250 0.250
Sb1 0.000 0.000 0.000

E_form (uncorrected)	-1.5	eV per formula unit
crystal system	cubic

Record 6
An optimized crystal structure of La2GaSi3Ir4. Source: Alexandria, functional GGA-PBE.

Lattice parameters (Å, degrees): 4.227 4.227 10.133 90.00 90.00 90.00
Fractional coordinates of all 10 atoms:
Ir1 0.000 0.500 0.365
Ir2 0.500 0.000 0.635
Ir3 0.500 0.500 0.000
Ir4 0.000 0.000 0.000
La1 0.500 0.000 0.254
La2 0.000 0.500 0.746
Ga1 0.500 0.500 0.500
Si1 0.000 0.000 0.500
Si2 0.500 0.000 0.874
Si3 0.000 0.500 0.126

E_form (uncorrected)	-9.7	eV per formula unit
crystal system	tetragonal